First-principles (GGA+U) data for crystalline HoVIn2O6 at its relaxed geometry, as listed in Alexandria via LeMat-Bulk.

Geometry as extended XYZ:
```
10
Lattice="2.761 1.594 4.917 -2.761 1.594 4.917 0.000 -3.189 4.917" Properties=species:S:1:pos:R:3 pbc="T T T"
Ho 0.000 0.000 0.000
V 0.000 0.000 7.227
In 0.000 0.000 4.114
In 0.000 0.000 11.601
O -1.578 -0.014 5.839
O -1.049 -1.491 8.214
O 0.801 -1.360 5.839
O -0.766 1.654 8.214
O 0.777 1.373 5.839
O 1.816 -0.163 8.214
```

ρ = 6.9 Mg/m³
Calculated total energy = -68.737 eV for the cell shown
SG = R3